The following is a PBE calculation of a geometry-optimized KRb2TlZn structure, from the Alexandria database.

Calculated values
Its density is 2.9 g cm⁻³. The volume is 54.532 Å³ per atom. As for the density of states at the Fermi level: 2.64 states/eV/f.u. As for the energy of formation: 0.088 eV per atom. The calculation puts the excess energy over the best structure of this formula in the dataset at 0.0 meV per atom.

a = 7.042 Å, b = 7.042 Å, c = 5.499 Å
α = 90.00°, β = 90.00°, γ = 90.00°
Space group P4/mmm (No. 123)
Unique sites:
K (0.000, 0.000, 0.000)
Rb (0.000, 0.500, 0.500)
Tl (0.500, 0.500, 0.000)
Zn (0.500, 0.500, 0.500)

---

The following is a PBE calculation of a geometry-optimized ZrSc6Al2 structure, from the Alexandria database.

Calculated values
Its density is 3.5 g cm⁻³. The volume is 21.826 Å³ per atom. As for the density of states at the Fermi level: 12.30 states/eV/f.u. As for the energy of formation: -0.083 eV per atom.

a = 3.091 Å, b = 4.960 Å, c = 25.623 Å
α = 90.00°, β = 90.00°, γ = 90.00°
Space group Amm2 (No. 38)
Unique sites:
Zr (0.000, 0.000, 0.000)
Sc (0.000, 0.000, 0.330)
Sc (0.000, 0.000, 0.552)
Sc (0.000, 0.000, 0.682)
Sc (0.000, 0.000, 0.893)
Sc (0.500, 0.000, 0.107)
Sc (0.500, 0.000, 0.226)
Al (0.500, 0.000, 0.445)
Al (0.500, 0.000, 0.788)